A plane-wave DFT calculation with PBE was carried out for a geometry-optimized SrCoSe2 structure.

```
SrCoSe2
1.0
5.3746 0.0013 0.0030
0.6327 5.3372 -0.0030
-1.9248 -3.8832 3.1783
Sr Co Se
1 1 2
Direct
0.7500 0.2500 0.5000 Sr
0.2500 0.7500 0.5000 Co
0.4317 0.4317 0.0000 Se
0.0683 0.0683 0.0000 Se
```

Computed properties:
**Magnetization**: 1.0 μB per formula unit
**Energy relative to the elements, uncorrected**: -3.2 eV/f.u.
**Energy above the most stable polymorph in this dataset**: 118.6 meV/atom